Entry from Alexandria via LeMat-Bulk: a relaxed SrTl2Ag crystal (PBEsol).

Summary:
final energy = -0.1018 Ha/atom
magnetization = 0.0000 μB per atom
density = 9.517 g/cm3
crystal system = tetragonal

POSCAR file:
```
SrTl2Ag
1.0
4.6327 0.0000 0.0000
0.0000 4.6327 0.0000
0.0000 0.0000 4.9127
Sr Tl Ag
1 2 1
Cartesian
0.0000 0.0000 0.0000
0.0000 2.3163 2.4563
2.3163 0.0000 2.4563
2.3163 2.3163 0.0000
```



Entry from Alexandria via LeMat-Bulk: a relaxed Sr2AgW crystal (PBEsol).

Summary:
final energy = -0.1610 Ha/atom
magnetization = 0.0001 μB per atom
density = 7.734 g/cm3
ΔE to the lowest computed polymorph = 0 kJ/mol of formula units
crystal system = monoclinic

POSCAR file:
```
Sr2AgW
1.0
6.0284 -1.5179 0.0000
6.0284 1.5179 0.0000
-1.7731 0.0000 5.4784
Sr Ag W
2 1 1
Cartesian
0.0000 0.0000 0.0000
1.2889 0.0000 3.3525
4.4604 0.0000 2.5388
8.9002 0.0000 0.8449
```